No. 1
Here is an optimized crystal structure of LiAl2Hg from Alexandria. Energies are from PBE.

CIF file:
```
data_LiAl2Hg
_chemical_formula_sum 'Li2 Al4 Hg2'
_space_group_name_H-M_alt 'P 1'
_space_group_IT_number 1
_cell_length_a 6.205
_cell_length_b 6.205
_cell_length_c 6.205
_cell_angle_alpha 100.77
_cell_angle_beta 100.77
_cell_angle_gamma 128.77
loop_
_space_group_symop_operation_xyz
'x,y,z'
loop_
_atom_site_label
_atom_site_type_symbol
_atom_site_fract_x
_atom_site_fract_y
_atom_site_fract_z
_atom_site_occupancy
Li1 Li 0.000 0.000 0.000 1
Li2 Li 0.750 0.250 0.500 1
Al1 Al 0.154 0.625 0.029 1
Al2 Al 0.375 0.404 0.529 1
Al3 Al 0.596 0.125 0.971 1
Al4 Al 0.875 0.846 0.471 1
Hg1 Hg 0.250 0.750 0.500 1
Hg2 Hg 0.500 0.500 0.000 1
```

Results
Density of states at the Fermi level: 3.49 states/eV/cell
Calculated volume: 168.0 Å³/cell
Energy of formation from the pure elements: 0.14 eV/atom
DFT total energy: -9.146 eV/f.u.
Total magnetization: 0.00 μB per cell



No. 2
Here is an optimized crystal structure of Li5AlHg4 from Alexandria. Energies are from PBE.

CIF file:
```
data_Li5AlHg4
_chemical_formula_sum 'Li5 Al1 Hg4'
_space_group_name_H-M_alt 'P 1'
_space_group_IT_number 1
_cell_length_a 3.344
_cell_length_b 3.344
_cell_length_c 15.943
_cell_angle_alpha 90.00
_cell_angle_beta 90.00
_cell_angle_gamma 90.00
loop_
_space_group_symop_operation_xyz
'x,y,z'
loop_
_atom_site_label
_atom_site_type_symbol
_atom_site_fract_x
_atom_site_fract_y
_atom_site_fract_z
_atom_site_occupancy
Li1 Li 0.000 0.000 0.000 1
Li2 Li 0.000 0.000 0.203 1
Li3 Li 0.000 0.000 0.402 1
Li4 Li 0.000 0.000 0.598 1
Li5 Li 0.000 0.000 0.797 1
Al1 Al 0.500 0.500 0.500 1
Hg1 Hg 0.500 0.500 0.102 1
Hg2 Hg 0.500 0.500 0.306 1
Hg3 Hg 0.500 0.500 0.694 1
Hg4 Hg 0.500 0.500 0.898 1
```

Results
Density of states at the Fermi level: 4.65 states/eV/cell
Calculated volume: 178.3 Å³/cell
Energy of formation from the pure elements: -0.30 eV/atom
DFT total energy: -17.534 eV/f.u.
Total magnetization: 0.00 μB per cell



No. 3
Here is an optimized crystal structure of LiAl2Hg2 from Alexandria. Energies are from PBE.

CIF file:
```
data_LiAl2Hg2
_chemical_formula_sum 'Li1 Al2 Hg2'
_space_group_name_H-M_alt 'P 1'
_space_group_IT_number 1
_cell_length_a 7.252
_cell_length_b 7.252
_cell_length_c 7.252
_cell_angle_alpha 148.09
_cell_angle_beta 148.09
_cell_angle_gamma 45.76
loop_
_space_group_symop_operation_xyz
'x,y,z'
loop_
_atom_site_label
_atom_site_type_symbol
_atom_site_fract_x
_atom_site_fract_y
_atom_site_fract_z
_atom_site_occupancy
Li1 Li 0.000 0.000 0.000 1
Al1 Al 0.250 0.750 0.500 1
Al2 Al 0.750 0.250 0.500 1
Hg1 Hg 0.397 0.397 0.000 1
Hg2 Hg 0.603 0.603 0.000 1
```

Results
Density of states at the Fermi level: 1.73 states/eV/cell
Energy relative to the lowest polymorph listed for this composition: 0 meV/atom
Calculated volume: 106.2 Å³/cell
Energy of formation from the pure elements: -0.01 eV/atom
DFT total energy: -10.053 eV/f.u.
Total magnetization: 0.00 μB per cell



No. 4
Here is an optimized crystal structure of LiAlHg2 from Alexandria. Energies are from PBE.

CIF file:
```
data_LiAlHg2
_chemical_formula_sum 'Li1 Al1 Hg2'
_space_group_name_H-M_alt 'P 1'
_space_group_IT_number 1
_cell_length_a 3.117
_cell_length_b 3.117
_cell_length_c 8.346
_cell_angle_alpha 90.00
_cell_angle_beta 90.00
_cell_angle_gamma 90.00
loop_
_space_group_symop_operation_xyz
'x,y,z'
loop_
_atom_site_label
_atom_site_type_symbol
_atom_site_fract_x
_atom_site_fract_y
_atom_site_fract_z
_atom_site_occupancy
Li1 Li 0.000 0.000 0.000 1
Al1 Al 0.500 0.500 0.226 1
Hg1 Hg 0.000 0.000 0.468 1
Hg2 Hg 0.500 0.500 0.773 1
```

Results
Density of states at the Fermi level: 1.97 states/eV/cell
Calculated volume: 81.1 Å³/cell
Energy of formation from the pure elements: -0.04 eV/atom
DFT total energy: -6.403 eV/f.u.
Total magnetization: 0.00 μB per cell



No. 5
Here is an optimized crystal structure of LiAl2Hg from Alexandria. Energies are from PBE.

CIF file:
```
data_LiAl2Hg
_chemical_formula_sum 'Li1 Al2 Hg1'
_space_group_name_H-M_alt 'P 1'
_space_group_IT_number 1
_cell_length_a 5.287
_cell_length_b 5.287
_cell_length_c 5.287
_cell_angle_alpha 135.32
_cell_angle_beta 135.32
_cell_angle_gamma 65.03
loop_
_space_group_symop_operation_xyz
'x,y,z'
loop_
_atom_site_label
_atom_site_type_symbol
_atom_site_fract_x
_atom_site_fract_y
_atom_site_fract_z
_atom_site_occupancy
Li1 Li 0.000 0.000 0.000 1
Al1 Al 0.250 0.750 0.500 1
Al2 Al 0.750 0.250 0.500 1
Hg1 Hg 0.500 0.500 0.000 1
```

Results
Density of states at the Fermi level: 1.24 states/eV/cell
Calculated volume: 72.0 Å³/cell
Energy of formation from the pure elements: -0.06 eV/atom
DFT total energy: -9.950 eV/f.u.
Total magnetization: 0.00 μB per cell



No. 6
Here is an optimized crystal structure of LiAl2Hg from Alexandria. Energies are from PBE.

CIF file:
```
data_LiAl2Hg
_chemical_formula_sum 'Li1 Al2 Hg1'
_space_group_name_H-M_alt 'P 1'
_space_group_IT_number 1
_cell_length_a 4.677
_cell_length_b 4.677
_cell_length_c 4.677
_cell_angle_alpha 60.00
_cell_angle_beta 60.00
_cell_angle_gamma 60.00
loop_
_space_group_symop_operation_xyz
'x,y,z'
loop_
_atom_site_label
_atom_site_type_symbol
_atom_site_fract_x
_atom_site_fract_y
_atom_site_fract_z
_atom_site_occupancy
Li1 Li 0.000 0.000 0.000 1
Al1 Al 0.250 0.250 0.250 1
Al2 Al 0.500 0.500 0.500 1
Hg1 Hg 0.750 0.750 0.750 1
```

Results
Density of states at the Fermi level: 1.95 states/eV/cell
Calculated volume: 72.4 Å³/cell
Energy of formation from the pure elements: -0.03 eV/atom
DFT total energy: -9.806 eV/f.u.
Total magnetization: 0.00 μB per cell